Model 1:
# TaAgS2Cl

A geometry-optimized TaAgS2Cl structure (PBE, Alexandria).

```
data_TaAgS2Cl
_chemical_formula_sum 'Ta1 Ag1 S2 Cl1'
_cell_length_a 4.8477
_cell_length_b 4.8477
_cell_length_c 4.6490
_cell_angle_alpha 90.00
_cell_angle_beta 90.00
_cell_angle_gamma 90.00
_symmetry_space_group_name_H-M 'P 4/m m m'
_symmetry_Int_Tables_number 123
_symmetry_space_group_name_Hall '-P 4 2'
loop_
_atom_site_label
_atom_site_type_symbol
_atom_site_fract_x
_atom_site_fract_y
_atom_site_fract_z
Ta1 Ta 0.0000 0.0000 0.0000
Ag1 Ag 0.5000 0.5000 0.5000
S1 S 0.0000 0.5000 0.5000
Cl1 Cl 0.5000 0.5000 0.0000
```

---

Model 2:
# TaAgS2Cl

A geometry-optimized TaAgS2Cl structure (PBE, Alexandria).

```
data_TaAgS2Cl
_chemical_formula_sum 'Ta1 Ag1 S2 Cl1'
_cell_length_a 4.8125
_cell_length_b 4.8125
_cell_length_c 4.8425
_cell_angle_alpha 90.00
_cell_angle_beta 90.00
_cell_angle_gamma 90.00
_symmetry_space_group_name_H-M 'P 4/m m m'
_symmetry_Int_Tables_number 123
_symmetry_space_group_name_Hall '-P 4 2'
loop_
_atom_site_label
_atom_site_type_symbol
_atom_site_fract_x
_atom_site_fract_y
_atom_site_fract_z
Ta1 Ta 0.0000 0.0000 0.0000
Ag1 Ag 0.5000 0.5000 0.5000
S1 S 0.0000 0.5000 0.0000
Cl1 Cl 0.0000 0.0000 0.5000
```

---

Stability, highest: model 2

---

Model 1:
# TaAgSCl2

A geometry-optimized TaAgSCl2 structure (PBE, Alexandria).

```
data_TaAgSCl2
_chemical_formula_sum 'Ta1 Ag1 S1 Cl2'
_cell_length_a 4.8593
_cell_length_b 4.8593
_cell_length_c 4.8098
_cell_angle_alpha 90.00
_cell_angle_beta 90.00
_cell_angle_gamma 90.00
_symmetry_space_group_name_H-M 'P 4/m m m'
_symmetry_Int_Tables_number 123
_symmetry_space_group_name_Hall '-P 4 2'
loop_
_atom_site_label
_atom_site_type_symbol
_atom_site_fract_x
_atom_site_fract_y
_atom_site_fract_z
Ta1 Ta 0.0000 0.0000 0.0000
Ag1 Ag 0.5000 0.5000 0.5000
S1 S 0.0000 0.0000 0.5000
Cl1 Cl 0.0000 0.5000 0.0000
```

---

Model 2:
# TaAgSCl2

A geometry-optimized TaAgSCl2 structure (PBE, Alexandria).

```
data_TaAgSCl2
_chemical_formula_sum 'Ta1 Ag1 S1 Cl2'
_cell_length_a 4.8380
_cell_length_b 4.8380
_cell_length_c 4.9730
_cell_angle_alpha 90.00
_cell_angle_beta 90.00
_cell_angle_gamma 90.00
_symmetry_space_group_name_H-M 'P 4/m m m'
_symmetry_Int_Tables_number 123
_symmetry_space_group_name_Hall '-P 4 2'
loop_
_atom_site_label
_atom_site_type_symbol
_atom_site_fract_x
_atom_site_fract_y
_atom_site_fract_z
Ta1 Ta 0.0000 0.0000 0.0000
Ag1 Ag 0.5000 0.5000 0.5000
S1 S 0.5000 0.5000 0.0000
Cl1 Cl 0.0000 0.5000 0.5000
```

---

Stability, highest: model 1

---

Model 1:
# TcAgSCl2

A geometry-optimized TcAgSCl2 structure (PBE, Alexandria).

```
data_TcAgSCl2
_chemical_formula_sum 'Tc1 Ag1 S1 Cl2'
_cell_length_a 4.9984
_cell_length_b 4.9984
_cell_length_c 4.4470
_cell_angle_alpha 90.00
_cell_angle_beta 90.00
_cell_angle_gamma 90.00
_symmetry_space_group_name_H-M 'P 4/m m m'
_symmetry_Int_Tables_number 123
_symmetry_space_group_name_Hall '-P 4 2'
loop_
_atom_site_label
_atom_site_type_symbol
_atom_site_fract_x
_atom_site_fract_y
_atom_site_fract_z
Tc1 Tc 0.0000 0.0000 0.0000
Ag1 Ag 0.5000 0.5000 0.5000
S1 S 0.0000 0.0000 0.5000
Cl1 Cl 0.0000 0.5000 0.0000
```

---

Model 2:
# TcAgSCl2

A geometry-optimized TcAgSCl2 structure (PBE, Alexandria).

```
data_TcAgSCl2
_chemical_formula_sum 'Tc1 Ag1 S1 Cl2'
_cell_length_a 4.8824
_cell_length_b 4.8824
_cell_length_c 5.0590
_cell_angle_alpha 90.00
_cell_angle_beta 90.00
_cell_angle_gamma 90.00
_symmetry_space_group_name_H-M 'P 4/m m m'
_symmetry_Int_Tables_number 123
_symmetry_space_group_name_Hall '-P 4 2'
loop_
_atom_site_label
_atom_site_type_symbol
_atom_site_fract_x
_atom_site_fract_y
_atom_site_fract_z
Tc1 Tc 0.0000 0.0000 0.0000
Ag1 Ag 0.5000 0.5000 0.5000
S1 S 0.5000 0.5000 0.0000
Cl1 Cl 0.0000 0.5000 0.5000
```

---

Stability, highest: model 1

---

Model 1:
# TcAgS2Cl

A geometry-optimized TcAgS2Cl structure (PBE, Alexandria).

```
data_TcAgS2Cl
_chemical_formula_sum 'Tc1 Ag1 S2 Cl1'
_cell_length_a 4.5443
_cell_length_b 4.5443
_cell_length_c 5.2024
_cell_angle_alpha 90.00
_cell_angle_beta 90.00
_cell_angle_gamma 90.00
_symmetry_space_group_name_H-M 'P 4/m m m'
_symmetry_Int_Tables_number 123
_symmetry_space_group_name_Hall '-P 4 2'
loop_
_atom_site_label
_atom_site_type_symbol
_atom_site_fract_x
_atom_site_fract_y
_atom_site_fract_z
Tc1 Tc 0.0000 0.0000 0.0000
Ag1 Ag 0.5000 0.5000 0.5000
S1 S 0.0000 0.5000 0.0000
Cl1 Cl 0.0000 0.0000 0.5000
```

---

Model 2:
# TcAgS2Cl

A geometry-optimized TcAgS2Cl structure (PBE, Alexandria).

```
data_TcAgS2Cl
_chemical_formula_sum 'Tc1 Ag1 S2 Cl1'
_cell_length_a 4.8722
_cell_length_b 4.8722
_cell_length_c 4.8274
_cell_angle_alpha 90.00
_cell_angle_beta 90.00
_cell_angle_gamma 90.00
_symmetry_space_group_name_H-M 'P 4/m m m'
_symmetry_Int_Tables_number 123
_symmetry_space_group_name_Hall '-P 4 2'
loop_
_atom_site_label
_atom_site_type_symbol
_atom_site_fract_x
_atom_site_fract_y
_atom_site_fract_z
Tc1 Tc 0.0000 0.0000 0.0000
Ag1 Ag 0.5000 0.5000 0.5000
S1 S 0.0000 0.5000 0.5000
Cl1 Cl 0.5000 0.5000 0.0000
```

---

Stability, highest: model 1

---

Model 1:
# TlAgS2Cl

A geometry-optimized TlAgS2Cl structure (PBE, Alexandria).

```
data_TlAgS2Cl
_chemical_formula_sum 'Tl1 Ag1 S2 Cl1'
_cell_length_a 4.8826
_cell_length_b 4.8826
_cell_length_c 5.3532
_cell_angle_alpha 90.00
_cell_angle_beta 90.00
_cell_angle_gamma 90.00
_symmetry_space_group_name_H-M 'P 4/m m m'
_symmetry_Int_Tables_number 123
_symmetry_space_group_name_Hall '-P 4 2'
loop_
_atom_site_label
_atom_site_type_symbol
_atom_site_fract_x
_atom_site_fract_y
_atom_site_fract_z
Tl1 Tl 0.0000 0.0000 0.0000
Ag1 Ag 0.5000 0.5000 0.5000
S1 S 0.0000 0.5000 0.5000
Cl1 Cl 0.5000 0.5000 0.0000
```

---

Model 2:
# TlAgS2Cl

A geometry-optimized TlAgS2Cl structure (PBE, Alexandria).

```
data_TlAgS2Cl
_chemical_formula_sum 'Tl1 Ag1 S2 Cl1'
_cell_length_a 5.0942
_cell_length_b 5.0942
_cell_length_c 5.4396
_cell_angle_alpha 90.00
_cell_angle_beta 90.00
_cell_angle_gamma 90.00
_symmetry_space_group_name_H-M 'P 4/m m m'
_symmetry_Int_Tables_number 123
_symmetry_space_group_name_Hall '-P 4 2'
loop_
_atom_site_label
_atom_site_type_symbol
_atom_site_fract_x
_atom_site_fract_y
_atom_site_fract_z
Tl1 Tl 0.0000 0.0000 0.0000
Ag1 Ag 0.5000 0.5000 0.5000
S1 S 0.0000 0.5000 0.0000
Cl1 Cl 0.0000 0.0000 0.5000
```

---

Stability, highest: model 1

---

Model 1:
# VAgSCl2

A geometry-optimized VAgSCl2 structure (PBE, Alexandria).

```
data_VAgSCl2
_chemical_formula_sum 'V1 Ag1 S1 Cl2'
_cell_length_a 4.8465
_cell_length_b 4.8465
_cell_length_c 5.1052
_cell_angle_alpha 90.00
_cell_angle_beta 90.00
_cell_angle_gamma 90.00
_symmetry_space_group_name_H-M 'P 4/m m m'
_symmetry_Int_Tables_number 123
_symmetry_space_group_name_Hall '-P 4 2'
loop_
_atom_site_label
_atom_site_type_symbol
_atom_site_fract_x
_atom_site_fract_y
_atom_site_fract_z
V1 V 0.0000 0.0000 0.0000
Ag1 Ag 0.5000 0.5000 0.5000
S1 S 0.5000 0.5000 0.0000
Cl1 Cl 0.0000 0.5000 0.5000
```

---

Model 2:
# VAgSCl2

A geometry-optimized VAgSCl2 structure (PBE, Alexandria).

```
data_VAgSCl2
_chemical_formula_sum 'V1 Ag1 S1 Cl2'
_cell_length_a 4.9003
_cell_length_b 4.9003
_cell_length_c 4.5587
_cell_angle_alpha 90.00
_cell_angle_beta 90.00
_cell_angle_gamma 90.00
_symmetry_space_group_name_H-M 'P 4/m m m'
_symmetry_Int_Tables_number 123
_symmetry_space_group_name_Hall '-P 4 2'
loop_
_atom_site_label
_atom_site_type_symbol
_atom_site_fract_x
_atom_site_fract_y
_atom_site_fract_z
V1 V 0.0000 0.0000 0.0000
Ag1 Ag 0.5000 0.5000 0.5000
S1 S 0.0000 0.0000 0.5000
Cl1 Cl 0.0000 0.5000 0.0000
```

---

Stability, highest: model 2